DFT (PBE with a Hubbard U) results for a relaxed structure of CsBeVF6.

Results
Symmetry: No. 1
Raw total energy: -5.577 eV per atom

a b c (Å): 5.0375 5.3093 6.5209
angles (deg): 89.56 87.28 62.57
Atoms (fractional coordinates):
Cs 0.0000 0.0000 0.0000
Be 0.5891 0.8323 0.4977
V 0.2987 0.4087 0.4990
F 0.0675 0.4595 0.7480
F 0.3202 0.0553 0.3656
F 0.4492 0.6715 0.6246
F 0.4780 0.4608 0.2502
F 0.6323 0.0660 0.6275
F 0.8913 0.6623 0.3757